Material: CuPt2Au
Method: DFT, PBEsol
State: optimized geometry

Its energy of formation is -9 meV/atom. Its polymorph energy (0 for the lowest one) is 0.051 eV per atom. The total magnetization is 0.0 Bohr magnetons per cell.

The space group is Cmmm (No. 65) and the conventional cell measures 2.7468, 4.6839 and 9.2473 Å, with angles of 90.00, 90.00 and 90.00 degrees. The asymmetric unit holds Cu at (0.0000, 0.0000, 0.0000), Pt at (0.0000, 0.5000, 0.2322) and Au at (0.0000, 0.0000, 0.5000).


Material: Cu2PtAu
Method: DFT, PBEsol
State: optimized geometry

Its energy of formation is -45 meV/atom. The total magnetization is 0.0 Bohr magnetons per cell.

The space group is C2/m (No. 12) and the conventional cell measures 8.5670, 2.8031 and 4.7319 Å, with angles of 90.00, 101.42 and 90.00 degrees. The asymmetric unit holds Cu at (0.2482, 0.0000, 0.2402), Pt at (0.0000, 0.5000, 0.0000) and Au at (0.0000, 0.0000, 0.5000).


Material: Cu2PtAu
Method: DFT, PBEsol
State: optimized geometry

Its energy of formation is -109 meV/atom. The total magnetization is 0.0 Bohr magnetons per cell.

The space group is Pmmm (No. 47) and the conventional cell measures 2.8045, 3.4898 and 5.5862 Å, with angles of 90.00, 90.00 and 90.00 degrees. The asymmetric unit holds Cu at (0.0000, 0.0000, 0.2410), Pt at (0.5000, 0.5000, 0.0000) and Au at (0.5000, 0.5000, 0.5000).


Material: CuPt2Au
Method: DFT, PBEsol
State: optimized geometry

Its energy of formation is -60 meV/atom. Its polymorph energy (0 for the lowest one) is 0.000 eV per atom. The total magnetization is 0.0 Bohr magnetons per cell.

The space group is R-3m (No. 166, hexagonal axes) and the conventional cell measures 2.7471, 2.7471 and 26.9575 Å, with angles of 90.00, 90.00 and 120.00 degrees. The asymmetric unit holds Cu at (0.0000, 0.0000, 0.0000), Pt at (0.0000, 0.0000, 0.2564) and Au at (0.0000, 0.0000, 0.5000).


Material: CuPtAu
Method: DFT, PBEsol
State: optimized geometry

Its energy of formation is -53 meV/atom. Its polymorph energy (0 for the lowest one) is 0.008 eV per atom. The total magnetization is 0.0 Bohr magnetons per cell.

The space group is P3m1 (No. 156) and the conventional cell measures 2.7573, 2.7573 and 6.6416 Å, with angles of 90.00, 90.00 and 120.00 degrees. The asymmetric unit holds Cu at (0.0000, 0.0000, 0.0000), Pt at (0.6667, 0.3333, 0.6885) and Au at (0.3333, 0.6667, 0.3222).


Material: CuPtAu
Method: DFT, PBEsol
State: optimized geometry

Its energy of formation is -20 meV/atom. Its polymorph energy (0 for the lowest one) is 0.041 eV per atom. The total magnetization is 0.0 Bohr magnetons per cell.

The space group is Imm2 (No. 44) and the conventional cell measures 2.7672, 3.6298 and 8.6962 Å, with angles of 90.00, 90.00 and 90.00 degrees. The asymmetric unit holds Cu at (0.0000, 0.0000, 0.0000), Pt at (0.0000, 0.0000, 0.6523) and Au at (0.0000, 0.0000, 0.3353).


Material: Cu2PtAu
Method: DFT, PBEsol
State: optimized geometry

Its energy of formation is -112 meV/atom. The total magnetization is 0.0 Bohr magnetons per cell.

The space group is Cmmm (No. 65) and the conventional cell measures 5.5765, 6.9849 and 2.8029 Å, with angles of 90.00, 90.00 and 90.00 degrees. The asymmetric unit holds Cu at (0.2500, 0.2500, 0.0000), Pt at (0.0000, 0.0000, 0.5000) and Au at (0.0000, 0.5000, 0.5000).


Material: CuPt2Au
Method: DFT, PBEsol
State: optimized geometry

Its energy of formation is -29 meV/atom. Its polymorph energy (0 for the lowest one) is 0.031 eV per atom. The total magnetization is 0.0 Bohr magnetons per cell.

The space group is R3m (No. 160, hexagonal axes) and the conventional cell measures 2.7566, 2.7566 and 26.7481 Å, with angles of 90.00, 90.00 and 120.00 degrees. The asymmetric unit holds Cu at (0.0000, 0.0000, 0.0000), Pt at (0.0000, 0.0000, 0.4975), Pt at (0.0000, 0.0000, 0.7436) and Au at (0.0000, 0.0000, 0.2536).


Material: CuPt2Au
Method: DFT, PBEsol
State: optimized geometry

Its energy of formation is -3 meV/atom. Its polymorph energy (0 for the lowest one) is 0.057 eV per atom. The total magnetization is 0.0 Bohr magnetons per cell.

The space group is Cm (No. 8) and the conventional cell measures 9.0422, 2.7817 and 4.7721 Å, with angles of 90.00, 101.13 and 90.00 degrees. The asymmetric unit holds Cu at (0.0000, 0.0000, 0.0000), Pt at (0.0059, 0.5000, 0.5112), Pt at (0.2571, 0.0000, 0.7465) and Au at (0.2489, 0.5000, 0.2366).


Material: Cu2PtAu
Method: DFT, PBEsol
State: optimized geometry

Its energy of formation is -50 meV/atom. The total magnetization is 0.0 Bohr magnetons per cell.

The space group is I-4m2 (No. 119) and the conventional cell measures 3.7691, 3.7691 and 7.7745 Å, with angles of 90.00, 90.00 and 90.00 degrees. The asymmetric unit holds Cu at (0.0000, 0.0000, 0.0000), Cu at (0.0000, 0.5000, 0.2500), Pt at (0.0000, 0.0000, 0.5000) and Au at (0.0000, 0.5000, 0.7500).


Material: Cu2PtAu
Method: DFT, PBEsol
State: optimized geometry

Its energy of formation is -61 meV/atom. The total magnetization is 0.0 Bohr magnetons per cell.

The space group is R-3m (No. 166, hexagonal axes) and the conventional cell measures 2.7430, 2.7430 and 25.5654 Å, with angles of 90.00, 90.00 and 120.00 degrees. The asymmetric unit holds Cu at (0.0000, 0.0000, 0.2485), Pt at (0.0000, 0.0000, 0.5000) and Au at (0.0000, 0.0000, 0.0000).


Material: CuPtAu
Method: DFT, PBEsol
State: optimized geometry

Its energy of formation is -61 meV/atom. Its polymorph energy (0 for the lowest one) is 0.000 eV per atom. The total magnetization is 0.0 Bohr magnetons per cell.

The space group is I4mm (No. 107) and the conventional cell measures 2.7940, 2.7940 and 11.0785 Å, with angles of 90.00, 90.00 and 90.00 degrees. The asymmetric unit holds Cu at (0.0000, 0.0000, 0.0000), Pt at (0.0000, 0.0000, 0.6523) and Au at (0.0000, 0.0000, 0.3379).